The following is a GGA+U calculation of a relaxed structure of NaV6O13, from Alexandria via LeMat-Bulk.

Geometry as POSCAR:
```
NaV6O13
1.0
3.755 0.000 0.000
-1.870 11.315 0.000
-0.030 -4.491 11.274
Na V O
2 12 26
Direct
0.000 0.000 0.000 Na
0.347 0.695 0.431 Na
0.107 0.209 0.432 V
0.118 0.241 0.754 V
0.227 0.451 0.675 V
0.244 0.485 0.998 V
0.399 0.801 0.796 V
0.419 0.834 0.111 V
0.604 0.205 0.231 V
0.609 0.218 0.940 V
0.738 0.475 0.488 V
0.747 0.487 0.198 V
0.940 0.892 0.640 V
0.950 0.862 0.327 V
0.024 0.051 0.687 O
0.029 0.046 0.390 O
0.112 0.222 0.270 O
0.132 0.263 0.606 O
0.133 0.265 0.931 O
0.213 0.427 0.822 O
0.214 0.426 0.497 O
0.237 0.470 0.159 O
0.321 0.644 0.743 O
0.324 0.647 0.040 O
0.417 0.843 0.649 O
0.420 0.843 0.951 O
0.421 0.845 0.285 O
0.523 0.044 0.162 O
0.530 0.060 0.904 O
0.615 0.231 0.779 O
0.626 0.248 0.410 O
0.631 0.259 0.112 O
0.718 0.431 0.315 O
0.723 0.444 0.019 O
0.733 0.463 0.649 O
0.815 0.632 0.522 O
0.829 0.647 0.267 O
0.915 0.850 0.468 O
0.918 0.843 0.784 O
0.926 0.850 0.144 O
```

Calculated values
- crystal system = triclinic
- final energy (eV per cell) = -298.65